Crystalline Pm2Ga3Ag5 at its relaxed geometry, computed with PBE.

The structure in POSCAR format:
```
Pm2Ga3Ag5
1.0
-3.3458 -2.2269 -2.2619
4.6624 -5.1489 -1.8271
-1.1794 -5.1571 11.5236
Pm Ag Ga
4 10 6
Direct
0.1730 0.7383 0.3460
0.4837 0.7516 0.9673
0.8270 0.2383 0.6540
0.5163 0.2516 0.0327
0.3946 0.4498 0.7891
0.6988 0.4059 0.3977
0.0522 0.5501 0.1044
0.2849 0.5180 0.5697
0.9478 0.0501 0.8956
0.6054 0.9498 0.2109
0.1258 0.2332 0.2517
0.7151 0.0180 0.4303
0.8742 0.7332 0.7483
0.3012 0.9059 0.6023
0.6035 0.5645 0.2069
0.0519 0.9488 0.1037
0.2334 0.2045 0.4667
0.9481 0.4488 0.8963
0.3965 0.0645 0.7931
0.7666 0.7045 0.5333
```

Output
Energy of formation   -302 meV per atom
Relative energy among the computed polymorphs   0 meV/atom
E_tot   -3.59 eV per atom
Symmetry   No. 36
Density   8.35 g/cm3
Fermi-level density of states   0.515 states/eV/atom
V   20.651 A^3/atom